{
  "formula": "K4BrClO",
  "functional": "GGA-PBE",
  "state": "relaxed",
  "lattice_angstrom": [[3.675, -8.209, 0.000], [3.675, 8.209, 0.000], [0.000, 0.000, 7.353]],
  "species": ["K", "K", "K", "K", "K", "K", "K", "K", "Br", "Br", "Cl", "Cl", "O", "O"],
  "fractional_positions": [[0.000, 0.500, 0.000], [0.000, 0.500, 0.500], [0.090, 0.910, 0.750], [0.404, 0.596, 0.750], [0.500, 0.000, 0.000], [0.500, 0.000, 0.500], [0.596, 0.404, 0.250], [0.910, 0.090, 0.250], [0.396, 0.604, 0.250], [0.604, 0.396, 0.750], [0.107, 0.893, 0.250], [0.893, 0.107, 0.750], [0.248, 0.752, 0.750], [0.752, 0.248, 0.250]],
  "sg": "Cmcm, No. 63",
  "raw_formation_energy_ev_per_atom": -1.50,
  "e_tot_ev_per_atom": -3.34
}


{
  "formula": "HfTc3Pb",
  "functional": "GGA-PBE",
  "state": "relaxed",
  "lattice_angstrom": [[4.834, 0.000, 0.000], [0.000, 4.834, 0.000], [0.000, 0.000, 4.834]],
  "species": ["Hf", "Tc", "Tc", "Tc", "Pb"],
  "fractional_positions": [[0.000, 0.000, 0.000], [0.000, 0.000, 0.500], [0.000, 0.500, 0.000], [0.500, 0.000, 0.000], [0.500, 0.500, 0.500]],
  "n_ef_per_ev_cell": 4.30,
  "e_form_mev_per_atom": 1627,
  "sg": "Pm-3m, No. 221",
  "e_tot_ev_per_atom": -7.32
}


{
  "formula": "LaPr4Nd2Th",
  "functional": "GGA-PBE",
  "state": "relaxed",
  "lattice_angstrom": [[6.403, 0.000, 0.000], [0.000, 3.682, 0.000], [-2.128, 0.000, 12.068]],
  "species": ["La", "Pr", "Pr", "Pr", "Pr", "Nd", "Nd", "Th"],
  "fractional_positions": [[0.000, 0.000, 0.000], [0.254, 0.500, 0.249], [0.257, 0.000, 0.756], [0.743, 0.000, 0.244], [0.746, 0.500, 0.751], [0.000, 0.500, 0.500], [0.500, 0.000, 0.500], [0.500, 0.500, 0.000]],
  "n_ef_per_ev_cell": 14.53,
  "e_form_mev_per_atom": 34,
  "sg": "P2/m, No. 10",
  "e_tot_ev_per_atom": -5.09
}


{
  "formula": "BaCa3Rh",
  "functional": "GGA-PBE",
  "state": "relaxed",
  "lattice_angstrom": [[4.617, 0.000, 0.000], [-2.308, 3.998, 0.000], [0.000, 0.000, 24.397]],
  "species": ["Ba", "Ba", "Ca", "Ca", "Ca", "Ca", "Ca", "Ca", "Rh", "Rh"],
  "fractional_positions": [[0.000, 0.000, 0.000], [0.000, 0.000, 0.500], [0.000, 0.000, 0.250], [0.000, 0.000, 0.750], [0.333, 0.667, 0.139], [0.333, 0.667, 0.361], [0.667, 0.333, 0.639], [0.667, 0.333, 0.861], [0.333, 0.667, 0.250], [0.667, 0.333, 0.750]],
  "n_ef_per_ev_cell": 9.13,
  "e_form_mev_per_atom": 91,
  "sg": "P6_3/mmc, No. 194",
  "e_tot_ev_per_atom": -2.97
}


{
  "formula": "KOs2W",
  "functional": "GGA-PBE",
  "state": "relaxed",
  "lattice_angstrom": [[2.902, 0.000, 0.000], [0.000, 4.634, 0.000], [0.000, 0.000, 10.604]],
  "species": ["K", "K", "Os", "Os", "Os", "Os", "W", "W"],
  "fractional_positions": [[0.000, 0.000, 0.000], [0.500, 0.500, 0.000], [0.000, 0.000, 0.511], [0.000, 0.500, 0.726], [0.500, 0.000, 0.726], [0.500, 0.500, 0.511], [0.000, 0.500, 0.300], [0.500, 0.000, 0.300]],
  "n_ef_per_ev_cell": 10.03,
  "e_form_mev_per_atom": 1028,
  "sg": "Cmm2, No. 35",
  "e_tot_ev_per_atom": -8.10
}


{
  "formula": "InSbRhO6",
  "functional": "GGA-PBE",
  "state": "relaxed",
  "lattice_angstrom": [[5.256, 0.000, 0.000], [-2.628, 4.552, 0.000], [0.000, 0.000, 9.230]],
  "species": ["In", "In", "Sb", "Sb", "Rh", "Rh", "O", "O", "O", "O", "O", "O", "O", "O", "O", "O", "O", "O"],
  "fractional_positions": [[0.000, 0.000, 0.000], [0.000, 0.000, 0.500], [0.333, 0.667, 0.250], [0.667, 0.333, 0.750], [0.333, 0.667, 0.750], [0.667, 0.333, 0.250], [0.001, 0.354, 0.633], [0.001, 0.647, 0.867], [0.353, 0.354, 0.867], [0.353, 0.999, 0.633], [0.354, 0.001, 0.133], [0.354, 0.353, 0.367], [0.646, 0.647, 0.633], [0.646, 0.999, 0.867], [0.647, 0.001, 0.367], [0.647, 0.646, 0.133], [0.999, 0.353, 0.133], [0.999, 0.646, 0.367]],
  "n_ef_per_ev_cell": 10.89,
  "sg": "P-31c, No. 163",
  "raw_formation_energy_ev_per_atom": -1.19,
  "e_tot_ev_per_atom": -6.07
}


{
  "formula": "ReAs2Au",
  "functional": "GGA-PBE",
  "state": "relaxed",
  "lattice_angstrom": [[3.867, 0.000, 0.000], [0.000, 3.867, 0.000], [0.000, 0.000, 9.093]],
  "species": ["Re", "Re", "As", "As", "As", "As", "Au", "Au"],
  "fractional_positions": [[0.000, 0.000, 0.000], [0.500, 0.500, 0.500], [0.000, 0.000, 0.500], [0.000, 0.500, 0.750], [0.500, 0.000, 0.250], [0.500, 0.500, 0.000], [0.000, 0.500, 0.250], [0.500, 0.000, 0.750]],
  "n_ef_per_ev_cell": 6.80,
  "e_form_mev_per_atom": 671,
  "sg": "I-4m2, No. 119",
  "e_tot_ev_per_atom": -5.59
}


{
  "formula": "TcNiB2",
  "functional": "GGA-PBE",
  "state": "relaxed",
  "lattice_angstrom": [[5.265, 0.000, 0.000], [0.000, 5.265, 0.000], [0.000, 0.000, 5.265]],
  "species": ["Tc", "Tc", "Tc", "Tc", "Ni", "Ni", "Ni", "Ni", "B", "B", "B", "B", "B", "B", "B", "B"],
  "fractional_positions": [[0.000, 0.000, 0.000], [0.000, 0.500, 0.500], [0.500, 0.000, 0.500], [0.500, 0.500, 0.000], [0.000, 0.000, 0.500], [0.000, 0.500, 0.000], [0.500, 0.000, 0.000], [0.500, 0.500, 0.500], [0.250, 0.250, 0.250], [0.250, 0.250, 0.750], [0.250, 0.750, 0.250], [0.250, 0.750, 0.750], [0.750, 0.250, 0.250], [0.750, 0.250, 0.750], [0.750, 0.750, 0.250], [0.750, 0.750, 0.750]],
  "n_ef_per_ev_cell": 4.57,
  "e_form_mev_per_atom": 94,
  "sg": "Fm-3m, No. 225",
  "e_tot_ev_per_atom": -7.28
}


What did the sixth record say?
{
  "formula": "InSbRhO6",
  "functional": "GGA-PBE",
  "state": "relaxed",
  "lattice_angstrom": [[5.256, 0.000, 0.000], [-2.628, 4.552, 0.000], [0.000, 0.000, 9.230]],
  "species": ["In", "In", "Sb", "Sb", "Rh", "Rh", "O", "O", "O", "O", "O", "O", "O", "O", "O", "O", "O", "O"],
  "fractional_positions": [[0.000, 0.000, 0.000], [0.000, 0.000, 0.500], [0.333, 0.667, 0.250], [0.667, 0.333, 0.750], [0.333, 0.667, 0.750], [0.667, 0.333, 0.250], [0.001, 0.354, 0.633], [0.001, 0.647, 0.867], [0.353, 0.354, 0.867], [0.353, 0.999, 0.633], [0.354, 0.001, 0.133], [0.354, 0.353, 0.367], [0.646, 0.647, 0.633], [0.646, 0.999, 0.867], [0.647, 0.001, 0.367], [0.647, 0.646, 0.133], [0.999, 0.353, 0.133], [0.999, 0.646, 0.367]],
  "n_ef_per_ev_cell": 10.89,
  "sg": "P-31c, No. 163",
  "raw_formation_energy_ev_per_atom": -1.19,
  "e_tot_ev_per_atom": -6.07
}


What is the formula in the sixth record? InSbRhO6